(1)
# SmY2Bi2 (PBE, optimized geometry)
data_SmY2Bi2
_chemical_formula_sum 'Sm4 Y8 Bi8'
_symmetry_space_group_name_H-M 'C 1 2/m 1'
_symmetry_Int_Tables_number 12
_cell_length_a 17.750
_cell_length_b 4.443
_cell_length_c 8.753
_cell_angle_alpha 90.00
_cell_angle_beta 104.28
_cell_angle_gamma 90.00
loop_
_symmetry_equiv_pos_as_xyz
'x,y,z'
'-x,-y,-z'
'-x,y,-z'
'x,-y,z'
'x+1/2,y+1/2,z'
'-x+1/2,-y+1/2,-z'
'-x+1/2,y+1/2,-z'
'x+1/2,-y+1/2,z'
loop_
_atom_site_label
_atom_site_type_symbol
_atom_site_fract_x
_atom_site_fract_y
_atom_site_fract_z
Sm1 Sm 0.179 0.000 0.340
Y1 Y 0.000 0.500 0.249
Y2 Y 0.180 0.000 0.840
Bi1 Bi 0.133 0.500 0.570
Bi2 Bi 0.135 0.500 0.064
# electronic total energy: -5.717 eV per atom
# total magnetic moment: 0.0 μB per formula unit
# formation energy: -61.2 kJ/mol of atoms



(2)
# SmY5Bi4 (PBE, optimized geometry)
data_SmY5Bi4
_chemical_formula_sum 'Sm2 Y10 Bi8'
_symmetry_space_group_name_H-M 'C 1 2/m 1'
_symmetry_Int_Tables_number 12
_cell_length_a 19.098
_cell_length_b 4.432
_cell_length_c 8.560
_cell_angle_alpha 90.00
_cell_angle_beta 106.72
_cell_angle_gamma 90.00
loop_
_symmetry_equiv_pos_as_xyz
'x,y,z'
'-x,-y,-z'
'-x,y,-z'
'x,-y,z'
'x+1/2,y+1/2,z'
'-x+1/2,-y+1/2,-z'
'-x+1/2,y+1/2,-z'
'x+1/2,-y+1/2,z'
loop_
_atom_site_label
_atom_site_type_symbol
_atom_site_fract_x
_atom_site_fract_y
_atom_site_fract_z
Sm1 Sm 0.000 0.000 0.000
Y1 Y 0.000 0.000 0.500
Y2 Y 0.161 0.500 0.814
Y3 Y 0.182 0.500 0.351
Bi1 Bi 0.012 0.500 0.265
Bi2 Bi 0.171 0.000 0.084
# electronic total energy: -5.777 eV per atom
# total magnetic moment: 0.0 μB per formula unit
# formation energy: -50.3 kJ/mol of atoms



(3)
# SmYBi2 (PBE, optimized geometry)
data_SmYBi2
_chemical_formula_sum 'Sm2 Y2 Bi4'
_symmetry_space_group_name_H-M 'P 63/m m c'
_symmetry_Int_Tables_number 194
_symmetry_space_group_name_Hall '-P 6c 2c'
_cell_length_a 4.5075
_cell_length_b 4.5075
_cell_length_c 14.9698
_cell_angle_alpha 90.00
_cell_angle_beta 90.00
_cell_angle_gamma 120.00
loop_
_atom_site_label
_atom_site_type_symbol
_atom_site_fract_x
_atom_site_fract_y
_atom_site_fract_z
Sm1 Sm 0.0000 0.0000 0.0000
Y1 Y 0.3333 0.6667 0.2500
Bi1 Bi 0.3333 0.6667 0.6248
# electronic total energy: -5.576 eV per atom
# total magnetic moment: 0.0 μB per formula unit
# formation energy: -81.0 kJ/mol of atoms